The following is a PBE with a Hubbard U calculation of AcUCr2O6 after structural relaxation, from the Alexandria database. Values from VASP.

The value obtained for the total energy is -85.6 eV/cell.

Geometry as Quantum ESPRESSO input:
```
&SYSTEM
  ibrav = 0, nat = 10, ntyp = 4
/
ATOMIC_SPECIES
Ac 227.00 Ac.upf
U 238.03 U.upf
Cr 52.00 Cr.upf
O 16.00 O.upf
CELL_PARAMETERS angstrom
5.604 0.000 0.000
0.018 5.697 0.000
2.753 2.636 4.235
ATOMIC_POSITIONS crystal
Ac 0.000 0.000 0.000
U 0.476 0.436 0.043
Cr 0.257 0.786 0.485
Cr 0.767 0.317 0.460
O 0.042 0.088 0.363
O 0.125 0.574 0.331
O 0.444 0.102 0.501
O 0.536 0.576 0.565
O 0.607 0.114 0.926
O 0.884 0.553 0.998
```